*P*
Entry from the Alexandria database: SrW3 at its PBEsol-relaxed geometry (SCAN).

```
4
Lattice="1.415 0.817 10.589 -1.415 0.817 10.589 0.000 -1.634 10.589" Properties=species:S:1:pos:R:3 pbc="T T T"
Sr 0.000 0.000 0.000
W 0.000 0.000 7.660
W 0.000 0.000 15.884
W 0.000 0.000 24.108
```

Summary:
As for the crystal system: trigonal. As for the space-group type: R-3m (166).

---

*Q*
Entry from the Alexandria database: SrW3 at its PBEsol-relaxed geometry (SCAN).

```
4
Lattice="-1.530 2.520 4.836 1.530 -2.520 4.836 1.530 2.520 -4.836" Properties=species:S:1:pos:R:3 pbc="T T T"
Sr 0.000 0.000 0.000
W 1.530 0.000 2.643
W 0.000 0.000 4.836
W 0.000 2.520 2.193
```

Summary:
As for the crystal system: orthorhombic. As for the space-group type: Immm (71).

---

Name the most stable of them. *P*.

---

*P*
Entry from the Alexandria database: Sr2YW at its PBEsol-relaxed geometry (SCAN).

```
4
Lattice="3.206 -5.409 0.000 3.206 5.409 0.000 0.000 0.000 3.213" Properties=species:S:1:pos:R:3 pbc="T T T"
Sr 1.603 2.705 0.000
Sr 1.603 -2.705 0.000
Y 0.000 0.000 1.607
W 3.206 0.000 1.607
```

Summary:
As for the crystal system: orthorhombic. As for the space-group type: Cmmm (65).

---

*Q*
Entry from the Alexandria database: Sr2YW at its PBEsol-relaxed geometry (SCAN).

```
4
Lattice="0.000 3.835 3.835 3.835 0.000 3.835 3.835 3.835 0.000" Properties=species:S:1:pos:R:3 pbc="T T T"
Sr 0.000 0.000 0.000
Sr 1.917 1.917 1.917
Y 3.835 3.835 3.835
W 5.752 5.752 5.752
```

Summary:
As for the crystal system: cubic. As for the space-group type: F-43m (216).

---

Name the most stable of them. *Q*.

---

*P*
Entry from the Alexandria database: SrYW at its PBEsol-relaxed geometry (SCAN).

```
3
Lattice="-1.565 1.565 8.006 1.565 -1.565 8.006 1.565 1.565 -8.006" Properties=species:S:1:pos:R:3 pbc="T T T"
Sr 0.000 0.000 0.000
Y 0.000 0.000 4.508
W 0.000 0.000 10.437
```

Summary:
As for the crystal system: tetragonal. As for the space-group type: I4mm (107).

---

*Q*
Entry from the Alexandria database: SrYW at its PBEsol-relaxed geometry (SCAN).

```
3
Lattice="0.000 3.576 3.576 3.576 0.000 3.576 3.576 3.576 0.000" Properties=species:S:1:pos:R:3 pbc="T T T"
Sr 0.000 0.000 0.000
Y 3.576 3.576 3.576
W 1.788 1.788 1.788
```

Summary:
As for the crystal system: cubic. As for the space-group type: F-43m (216).

---

Name the most stable of them. *P*.

---

*P*
Entry from the Alexandria database: Sr2ZnW at its PBEsol-relaxed geometry (SCAN).

```
4
Lattice="3.511 0.000 0.000 0.000 3.511 0.000 0.000 0.000 8.868" Properties=species:S:1:pos:R:3 pbc="T T T"
Sr 0.000 0.000 0.000
Sr 1.755 1.755 3.582
Zn 1.755 1.755 6.627
W 0.000 0.000 5.820
```

Summary:
As for the crystal system: tetragonal. As for the space-group type: P4mm (99).

---

*Q*
Entry from the Alexandria database: Sr2ZnW at its PBEsol-relaxed geometry (SCAN).

```
4
Lattice="4.337 0.000 0.000 0.000 2.331 5.712 0.000 -2.331 5.712" Properties=species:S:1:pos:R:3 pbc="T T T"
Sr 0.000 0.000 0.000
Sr 2.168 0.000 3.303
Zn 2.168 0.000 6.707
W 0.000 0.000 7.955
```

Summary:
As for the crystal system: orthorhombic. As for the space-group type: Amm2 (38).

---

Name the most stable of them. *P*.

---

*P*
Entry from the Alexandria database: SrZnW2 at its PBEsol-relaxed geometry (SCAN).

```
4
Lattice="-1.357 2.524 5.406 1.357 -2.524 5.406 1.357 2.524 -5.406" Properties=species:S:1:pos:R:3 pbc="T T T"
Sr 0.000 0.000 0.000
Zn 0.000 0.000 5.406
W 1.357 0.000 3.028
W 0.000 2.524 2.378
```

Summary:
As for the crystal system: orthorhombic. As for the space-group type: Immm (71).

---

*Q*
Entry from the Alexandria database: SrZnW2 at its PBEsol-relaxed geometry (SCAN).

```
4
Lattice="3.924 0.000 0.000 0.000 3.924 0.000 0.000 0.000 4.925" Properties=species:S:1:pos:R:3 pbc="T T T"
Sr 0.000 0.000 0.000
Zn 1.962 1.962 0.000
W 0.000 1.962 2.462
W 1.962 0.000 2.462
```

Summary:
As for the crystal system: tetragonal. As for the space-group type: P4/mmm (123).

---

Name the most stable of them. *P*.

---

*P*
Entry from the Alexandria database: SrZr2W at its PBEsol-relaxed geometry (SCAN).

```
4
Lattice="3.346 0.000 0.000 0.000 3.346 0.000 0.000 0.000 9.172" Properties=species:S:1:pos:R:3 pbc="T T T"
Sr 0.000 0.000 0.000
Zr 1.673 1.673 3.053
Zr 1.673 1.673 6.118
W 0.000 0.000 4.586
```

Summary:
As for the crystal system: tetragonal. As for the space-group type: P4/mmm (123).

---

*Q*
Entry from the Alexandria database: SrZr2W at its PBEsol-relaxed geometry (SCAN).

```
4
Lattice="4.924 -1.492 0.000 4.924 1.492 0.000 -0.227 0.000 6.553" Properties=species:S:1:pos:R:3 pbc="T T T"
Sr 0.000 0.000 0.000
Zr 4.819 0.000 3.458
Zr 7.410 0.000 2.143
W 2.280 0.000 4.563
```

Summary:
As for the crystal system: monoclinic. As for the space-group type: Cm (8).

---

Name the most stable of them. *P*.

---

*P*
Entry from the Alexandria database: SrY2 at its PBEsol-relaxed geometry (SCAN).

```
6
Lattice="0.000 4.840 4.840 4.840 0.000 4.840 4.840 4.840 0.000" Properties=species:S:1:pos:R:3 pbc="T T T"
Sr 1.210 1.210 1.210
Sr 8.470 8.470 8.470
Y 4.840 2.420 2.420
Y 2.420 4.840 2.420
Y 2.420 2.420 4.840
Y 4.840 4.840 4.840
```

Summary:
As for the crystal system: cubic. As for the space-group type: Fd-3m (227).

---

*Q*
Entry from the Alexandria database: SrY2 at its PBEsol-relaxed geometry (SCAN).

```
3
Lattice="-1.810 2.586 5.626 1.810 -2.586 5.626 1.810 2.586 -5.626" Properties=species:S:1:pos:R:3 pbc="T T T"
Sr 0.000 0.000 0.000
Y 0.000 0.000 3.649
Y 0.000 0.000 7.603
```

Summary:
As for the crystal system: orthorhombic. As for the space-group type: Immm (71).

---

Name the most stable of them. *Q*.

---

*P*
Entry from the Alexandria database: Sr2Zr at its PBEsol-relaxed geometry (SCAN).

```
3
Lattice="5.951 0.000 0.000 0.000 5.951 0.000 0.000 0.000 3.517" Properties=species:S:1:pos:R:3 pbc="T T T"
Sr 0.000 2.976 0.000
Sr 2.976 0.000 0.000
Zr 0.000 0.000 1.759
```

Summary:
As for the crystal system: tetragonal. As for the space-group type: P4/mmm (123).

---

*Q*
Entry from the Alexandria database: Sr2Zr at its PBEsol-relaxed geometry (SCAN).

```
6
Lattice="-1.772 1.772 17.129 1.772 -1.772 17.129 1.772 1.772 -17.129" Properties=species:S:1:pos:R:3 pbc="T T T"
Sr 1.772 0.886 1.787
Sr 1.772 0.886 6.777
Sr 0.000 0.886 10.351
Sr 0.000 0.886 15.341
Zr 1.772 -0.886 12.846
Zr 0.000 2.658 4.282
```

Summary:
As for the crystal system: tetragonal. As for the space-group type: I4_1/amd (141).

---

*R*
Entry from the Alexandria database: Sr2Zr at its PBEsol-relaxed geometry (SCAN).

```
3
Lattice="3.641 0.000 0.000 -1.821 3.153 0.000 0.000 0.000 9.183" Properties=species:S:1:pos:R:3 pbc="T T T"
Sr 0.000 2.102 2.776
Sr 1.821 1.051 6.407
Zr 0.000 0.000 0.000
```

Summary:
As for the crystal system: trigonal. As for the space-group type: P-3m1 (164).

---

Name the most stable of them. *R*.

---

*P*
Entry from the Alexandria database: SrZr at its PBEsol-relaxed geometry (SCAN).

```
4
Lattice="-2.358 3.040 4.611 2.358 -3.040 4.611 2.358 3.040 -4.611" Properties=species:S:1:pos:R:3 pbc="T T T"
Sr 0.000 1.520 0.889
Sr 2.358 1.520 3.722
Zr 2.358 1.520 -1.719
Zr 0.000 1.520 6.331
```

Summary:
As for the crystal system: orthorhombic. As for the space-group type: Imma (74).

---

*Q*
Entry from the Alexandria database: SrZr at its PBEsol-relaxed geometry (SCAN).

```
4
Lattice="3.334 0.000 0.000 0.000 4.555 0.000 0.000 0.000 8.827" Properties=species:S:1:pos:R:3 pbc="T T T"
Sr 0.834 1.139 1.529
Sr 2.501 3.417 7.298
Zr 0.834 3.417 3.942
Zr 2.501 1.139 4.885
```

Summary:
As for the crystal system: orthorhombic. As for the space-group type: Pmmn (59).

---

*R*
Entry from the Alexandria database: SrZr at its PBEsol-relaxed geometry (SCAN).

```
4
Lattice="3.390 0.000 0.000 0.000 3.390 0.000 0.000 0.000 11.218" Properties=species:S:1:pos:R:3 pbc="T T T"
Sr 0.848 0.848 1.745
Sr 2.543 2.543 9.473
Zr 0.848 0.848 6.557
Zr 2.543 2.543 4.661
```

Summary:
As for the crystal system: tetragonal. As for the space-group type: P4/nmm (129).

---

*S*
Entry from the Alexandria database: SrZr at its PBEsol-relaxed geometry (SCAN).

```
2
Lattice="3.951 0.000 0.000 0.000 3.951 0.000 0.000 0.000 3.951" Properties=species:S:1:pos:R:3 pbc="T T T"
Sr 0.000 0.000 0.000
Zr 1.975 1.975 1.975
```

Summary:
As for the crystal system: cubic. As for the space-group type: Pm-3m (221).

---

Name the most stable of them. *R*.

---

*P*
Entry from the Alexandria database: SrZr2 at its PBEsol-relaxed geometry (SCAN).

```
3
Lattice="-1.884 1.884 6.091 1.884 -1.884 6.091 1.884 1.884 -6.091" Properties=species:S:1:pos:R:3 pbc="T T T"
Sr 0.000 0.000 0.000
Zr 0.000 0.000 3.563
Zr 0.000 0.000 8.620
```

Summary:
As for the crystal system: tetragonal. As for the space-group type: I4/mmm (139).

---

*Q*
Entry from the Alexandria database: SrZr2 at its PBEsol-relaxed geometry (SCAN).

```
3
Lattice="5.511 0.000 0.000 -2.756 4.773 0.000 0.000 0.000 2.972" Properties=species:S:1:pos:R:3 pbc="T T T"
Sr 0.000 0.000 0.000
Zr 0.000 3.182 0.831
Zr 2.756 1.591 2.141
```

Summary:
As for the crystal system: trigonal. As for the space-group type: P-3m1 (164).

---

Name the most stable of them. *P*.

---

*P*
Entry from the Alexandria database: TaTlTc2 at its PBEsol-relaxed geometry (SCAN).

```
4
Lattice="0.000 3.214 3.214 3.214 0.000 3.214 3.214 3.214 0.000" Properties=species:S:1:pos:R:3 pbc="T T T"
Ta 0.000 0.000 0.000
Tl 4.821 4.821 4.821
Tc 1.607 1.607 1.607
Tc 3.214 3.214 3.214
```

Summary:
As for the crystal system: cubic. As for the space-group type: F-43m (216).

---

*Q*
Entry from the Alexandria database: TaTlTc2 at its PBEsol-relaxed geometry (SCAN).

```
4
Lattice="4.560 -1.526 0.000 4.560 1.526 0.000 -1.263 0.000 4.829" Properties=species:S:1:pos:R:3 pbc="T T T"
Ta 0.000 0.000 0.000
Tl 3.929 0.000 2.415
Tc 1.431 0.000 3.762
Tc 6.426 0.000 1.067
```

Summary:
As for the crystal system: monoclinic. As for the space-group type: C2/m (12).

---

Name the most stable of them. *Q*.

---

*P*
Entry from the Alexandria database: TaTl2Tc at its PBEsol-relaxed geometry (SCAN).

```
4
Lattice="-1.601 2.482 4.762 1.601 -2.482 4.762 1.601 2.482 -4.762" Properties=species:S:1:pos:R:3 pbc="T T T"
Ta 0.000 0.000 0.000
Tl 1.601 0.000 2.476
Tl 0.000 2.482 2.286
Tc 0.000 0.000 4.762
```

Summary:
As for the crystal system: orthorhombic. As for the space-group type: Immm (71).

---

*Q*
Entry from the Alexandria database: TaTl2Tc at its PBEsol-relaxed geometry (SCAN).

```
4
Lattice="-2.084 2.084 4.278 2.084 -2.084 4.278 2.084 2.084 -4.278" Properties=species:S:1:pos:R:3 pbc="T T T"
Ta 0.000 0.000 0.000
Tl 2.084 0.000 2.139
Tl 0.000 0.000 4.278
Tc 0.000 2.084 2.139
```

Summary:
As for the crystal system: tetragonal. As for the space-group type: I-4m2 (119).

---

Name the most stable of them. *P*.

---

*P*
Entry from the Alexandria database: TaZn2Tc at its PBEsol-relaxed geometry (SCAN).

```
4
Lattice="1.590 -2.205 0.000 1.590 2.205 0.000 0.000 0.000 8.535" Properties=species:S:1:pos:R:3 pbc="T T T"
Ta 0.000 0.000 0.000
Zn 0.000 0.000 4.302
Zn 1.590 0.000 2.232
Tc 1.590 0.000 6.389
```

Summary:
As for the crystal system: orthorhombic. As for the space-group type: Cmm2 (35).

---

*Q*
Entry from the Alexandria database: TaZn2Tc at its PBEsol-relaxed geometry (SCAN).

```
4
Lattice="2.623 -4.197 0.000 2.623 4.197 0.000 0.000 0.000 2.652" Properties=species:S:1:pos:R:3 pbc="T T T"
Ta 0.000 0.000 0.000
Zn 1.311 2.099 1.326
Zn 1.311 -2.099 1.326
Tc 2.623 0.000 0.000
```

Summary:
As for the crystal system: orthorhombic. As for the space-group type: Cmmm (65).

---

Name the most stable of them. *P*.

---

*P*
Entry from the Alexandria database: TaTl2Te at its PBEsol-relaxed geometry (SCAN).

```
4
Lattice="1.798 -2.652 0.000 1.798 2.652 0.000 0.000 0.000 10.477" Properties=species:S:1:pos:R:3 pbc="T T T"
Ta 0.000 0.000 0.000
Tl 0.000 0.000 5.395
Tl 1.798 0.000 8.110
Te 1.798 0.000 2.054
```

Summary:
As for the crystal system: orthorhombic. As for the space-group type: Cmm2 (35).

---

*Q*
Entry from the Alexandria database: TaTl2Te at its PBEsol-relaxed geometry (SCAN).

```
4
Lattice="-1.638 2.428 6.669 1.638 -2.428 6.669 1.638 2.428 -6.669" Properties=species:S:1:pos:R:3 pbc="T T T"
Ta 0.000 0.000 0.000
Tl 1.638 0.000 2.654
Tl 0.000 0.000 7.058
Te 0.000 2.428 4.510
```

Summary:
As for the crystal system: orthorhombic. As for the space-group type: Imm2 (44).

---

Name the most stable of them. *P*.